P) # Nd2CuHg (PBE-GGA, relaxed)
data_Nd2CuHg
_chemical_formula_sum 'Nd2 Cu1 Hg1'
_symmetry_space_group_name_H-M 'P 4/m m m'
_symmetry_Int_Tables_number 123
_symmetry_space_group_name_Hall '-P 4 2'
_cell_length_a 3.690
_cell_length_b 3.690
_cell_length_c 7.557
_cell_angle_alpha 90.00
_cell_angle_beta 90.00
_cell_angle_gamma 90.00
loop_
_atom_site_label
_atom_site_fract_x
_atom_site_fract_y
_atom_site_fract_z
Nd1 0.000 0.000 0.229
Cu1 0.500 0.500 0.000
Hg1 0.500 0.500 0.500
# spin magnetization = 0.0 μB/f.u.

---

Q) # Nd2CuHg (PBE-GGA, relaxed)
data_Nd2CuHg
_chemical_formula_sum 'Nd8 Cu4 Hg4'
_symmetry_space_group_name_H-M 'F m -3 m'
_symmetry_Int_Tables_number 225
_symmetry_space_group_name_Hall '-F 4 2 3'
_cell_length_a 7.470
_cell_length_b 7.470
_cell_length_c 7.470
_cell_angle_alpha 90.00
_cell_angle_beta 90.00
_cell_angle_gamma 90.00
loop_
_atom_site_label
_atom_site_fract_x
_atom_site_fract_y
_atom_site_fract_z
Nd1 0.250 0.250 0.250
Cu1 0.000 0.000 0.000
Hg1 0.000 0.000 0.500
# spin magnetization = 0.0 μB/f.u.

---

Most stable one: P), least stable one: Q).

---

P) # NdCu2Hg (PBE-GGA, relaxed)
data_NdCu2Hg
_chemical_formula_sum 'Nd3 Cu6 Hg3'
_symmetry_space_group_name_H-M 'R -3 m'
_symmetry_Int_Tables_number 166
_symmetry_space_group_name_Hall '-R 3 2"'
_cell_length_a 4.6202
_cell_length_b 4.6202
_cell_length_c 12.9700
_cell_angle_alpha 90.00
_cell_angle_beta 90.00
_cell_angle_gamma 120.00
loop_
_atom_site_label
_atom_site_fract_x
_atom_site_fract_y
_atom_site_fract_z
Nd1 0.0000 0.0000 0.0000
Cu1 0.0000 0.0000 0.2240
Hg1 0.0000 0.0000 0.5000
# spin magnetization = 0.0 μB/f.u.

---

Q) # NdCu2Hg (PBE-GGA, relaxed)
data_NdCu2Hg
_chemical_formula_sum 'Nd2 Cu4 Hg2'
_symmetry_space_group_name_H-M 'P 4/n m m'
_symmetry_Int_Tables_number 129
_cell_length_a 4.058
_cell_length_b 4.058
_cell_length_c 9.914
_cell_angle_alpha 90.00
_cell_angle_beta 90.00
_cell_angle_gamma 90.00
loop_
_symmetry_equiv_pos_as_xyz
'x,y,z'
'-x,-y,-z'
'-y+1/2,x,z'
'y+1/2,-x,-z'
'-x+1/2,-y+1/2,z'
'x+1/2,y+1/2,-z'
'y,-x+1/2,z'
'-y,x+1/2,-z'
'x+1/2,-y,-z'
'-x+1/2,y,z'
'-y,-x,-z'
'y,x,z'
'-x,y+1/2,-z'
'x,-y+1/2,z'
'y+1/2,x+1/2,-z'
'-y+1/2,-x+1/2,z'
loop_
_atom_site_label
_atom_site_fract_x
_atom_site_fract_y
_atom_site_fract_z
Nd1 0.250 0.250 0.240
Cu1 0.250 0.250 0.855
Cu2 0.250 0.750 0.000
Hg1 0.250 0.250 0.578
# spin magnetization = 0.0 μB/f.u.

---

Most stable one: Q), least stable one: P).

---

P) # Nd4CuHg (PBE-GGA, relaxed)
data_Nd4CuHg
_chemical_formula_sum 'Nd4 Cu1 Hg1'
_symmetry_space_group_name_H-M 'P 4/m m m'
_symmetry_Int_Tables_number 123
_symmetry_space_group_name_Hall '-P 4 2'
_cell_length_a 3.691
_cell_length_b 3.691
_cell_length_c 12.846
_cell_angle_alpha 90.00
_cell_angle_beta 90.00
_cell_angle_gamma 90.00
loop_
_atom_site_label
_atom_site_fract_x
_atom_site_fract_y
_atom_site_fract_z
Nd1 0.000 0.000 0.133
Nd2 0.500 0.500 0.341
Cu1 0.500 0.500 0.000
Hg1 0.000 0.000 0.500
# spin magnetization = 0.6 μB/f.u.

---

Q) # Nd4CuHg (PBE-GGA, relaxed)
data_Nd4CuHg
_chemical_formula_sum 'Nd8 Cu2 Hg2'
_symmetry_space_group_name_H-M 'P 1 21/c 1'
_symmetry_Int_Tables_number 14
_cell_length_a 7.200
_cell_length_b 7.938
_cell_length_c 6.780
_cell_angle_alpha 90.00
_cell_angle_beta 97.42
_cell_angle_gamma 90.00
loop_
_symmetry_equiv_pos_as_xyz
'x,y,z'
'-x,-y,-z'
'-x,y+1/2,-z+1/2'
'x,-y+1/2,z+1/2'
loop_
_atom_site_label
_atom_site_fract_x
_atom_site_fract_y
_atom_site_fract_z
Nd1 0.148 0.167 0.170
Nd2 0.341 0.650 0.082
Cu1 0.000 0.000 0.500
Hg1 0.500 0.000 0.000
# spin magnetization = 0.0 μB/f.u.

---

Most stable one: P), least stable one: Q).

---

P) # Nd3Cu2Hg (PBE-GGA, relaxed)
data_Nd3Cu2Hg
_chemical_formula_sum 'Nd3 Cu2 Hg1'
_symmetry_space_group_name_H-M 'P 4/m m m'
_symmetry_Int_Tables_number 123
_symmetry_space_group_name_Hall '-P 4 2'
_cell_length_a 3.656
_cell_length_b 3.656
_cell_length_c 11.165
_cell_angle_alpha 90.00
_cell_angle_beta 90.00
_cell_angle_gamma 90.00
loop_
_atom_site_label
_atom_site_fract_x
_atom_site_fract_y
_atom_site_fract_z
Nd1 0.000 0.000 0.000
Nd2 0.000 0.000 0.315
Cu1 0.500 0.500 0.156
Hg1 0.500 0.500 0.500
# spin magnetization = 0.2 μB/f.u.

---

Q) # Nd3Cu2Hg (PBE-GGA, relaxed)
data_Nd3Cu2Hg
_chemical_formula_sum 'Nd6 Cu4 Hg2'
_symmetry_space_group_name_H-M 'C m m m'
_symmetry_Int_Tables_number 65
_symmetry_space_group_name_Hall '-C 2 2'
_cell_length_a 5.235
_cell_length_b 15.489
_cell_length_c 3.699
_cell_angle_alpha 90.00
_cell_angle_beta 90.00
_cell_angle_gamma 90.00
loop_
_atom_site_label
_atom_site_fract_x
_atom_site_fract_y
_atom_site_fract_z
Nd1 0.000 0.000 0.000
Nd2 0.000 0.325 0.000
Cu1 0.000 0.163 0.500
Hg1 0.000 0.500 0.500
# spin magnetization = 0.0 μB/f.u.

---

Most stable one: P), least stable one: Q).

---

P) # NdSmCuHg (PBE-GGA, relaxed)
data_NdSmCuHg
_chemical_formula_sum 'Nd1 Sm1 Cu1 Hg1'
_symmetry_space_group_name_H-M 'P 4 m m'
_symmetry_Int_Tables_number 99
_cell_length_a 3.663
_cell_length_b 3.663
_cell_length_c 7.532
_cell_angle_alpha 90.00
_cell_angle_beta 90.00
_cell_angle_gamma 90.00
loop_
_symmetry_equiv_pos_as_xyz
'x,y,z'
'-y,x,z'
'-x,-y,z'
'y,-x,z'
'-x,y,z'
'y,x,z'
'x,-y,z'
'-y,-x,z'
loop_
_atom_site_label
_atom_site_fract_x
_atom_site_fract_y
_atom_site_fract_z
Nd1 0.000 0.000 0.000
Sm1 0.000 0.000 0.458
Cu1 0.500 0.500 0.238
Hg1 0.500 0.500 0.724
# spin magnetization = 0.0 μB/f.u.

---

Q) # NdSmCuHg (PBE-GGA, relaxed)
data_NdSmCuHg
_chemical_formula_sum 'Nd4 Sm4 Cu4 Hg4'
_symmetry_space_group_name_H-M 'F -4 3 m'
_symmetry_Int_Tables_number 216
_symmetry_space_group_name_Hall 'F -4 2 3'
_cell_length_a 7.424
_cell_length_b 7.424
_cell_length_c 7.424
_cell_angle_alpha 90.00
_cell_angle_beta 90.00
_cell_angle_gamma 90.00
loop_
_atom_site_label
_atom_site_fract_x
_atom_site_fract_y
_atom_site_fract_z
Nd1 0.000 0.000 0.000
Sm1 0.000 0.000 0.500
Cu1 0.250 0.250 0.250
Hg1 0.250 0.250 0.750
# spin magnetization = 0.0 μB/f.u.

---

Most stable one: P), least stable one: Q).

---

P) # NdYCuHg (PBE-GGA, relaxed)
data_NdYCuHg
_chemical_formula_sum 'Nd1 Y1 Cu1 Hg1'
_symmetry_space_group_name_H-M 'P 4 m m'
_symmetry_Int_Tables_number 99
_cell_length_a 3.609
_cell_length_b 3.609
_cell_length_c 7.561
_cell_angle_alpha 90.00
_cell_angle_beta 90.00
_cell_angle_gamma 90.00
loop_
_symmetry_equiv_pos_as_xyz
'x,y,z'
'-y,x,z'
'-x,-y,z'
'y,-x,z'
'-x,y,z'
'y,x,z'
'x,-y,z'
'-y,-x,z'
loop_
_atom_site_label
_atom_site_fract_x
_atom_site_fract_y
_atom_site_fract_z
Nd1 0.000 0.000 0.000
Y1 0.000 0.000 0.458
Cu1 0.500 0.500 0.248
Hg1 0.500 0.500 0.717
# spin magnetization = 0.0 μB/f.u.

---

Q) # NdYCuHg (PBE-GGA, relaxed)
data_NdYCuHg
_chemical_formula_sum 'Nd4 Y4 Cu4 Hg4'
_symmetry_space_group_name_H-M 'F -4 3 m'
_symmetry_Int_Tables_number 216
_symmetry_space_group_name_Hall 'F -4 2 3'
_cell_length_a 7.361
_cell_length_b 7.361
_cell_length_c 7.361
_cell_angle_alpha 90.00
_cell_angle_beta 90.00
_cell_angle_gamma 90.00
loop_
_atom_site_label
_atom_site_fract_x
_atom_site_fract_y
_atom_site_fract_z
Nd1 0.000 0.000 0.000
Y1 0.000 0.000 0.500
Cu1 0.250 0.250 0.750
Hg1 0.250 0.250 0.250
# spin magnetization = 0.0 μB/f.u.

---

Most stable one: P), least stable one: Q).